MgHg2Pb: optimized geometry, GGA-PBEsol.

Cell and atoms, written as POSCAR:
```
MgHg2Pb
1.0
-2.229 2.229 4.793
2.229 -2.229 4.793
2.229 2.229 -4.793
Mg Hg Pb
1 2 1
Direct
0.000 0.000 0.000
0.250 0.750 0.500
0.500 0.500 0.000
0.750 0.250 0.500
```

Energy = -1.795 eV per atom
Magnetization = 0.000 μB per formula unit
ΔH_f (0 K) = -1.91 kcal/mol of atoms
DOS(E_F) = 0.4168 states/eV per atom

K4I2O9: optimized geometry, GGA-PBEsol.

Cell and atoms, written as POSCAR:
```
K4I2O9
1.0
6.088 0.000 0.000
-3.044 5.273 0.000
0.000 0.000 16.020
K I O
8 4 18
Direct
0.000 0.000 0.000
0.000 0.000 0.250
0.000 0.000 0.500
0.000 0.000 0.750
0.333 0.667 0.112
0.333 0.667 0.388
0.667 0.333 0.612
0.667 0.333 0.888
0.333 0.667 0.660
0.333 0.667 0.840
0.667 0.333 0.160
0.667 0.333 0.340
0.061 0.530 0.750
0.181 0.362 0.607
0.181 0.362 0.893
0.181 0.819 0.607
0.181 0.819 0.893
0.362 0.181 0.107
0.362 0.181 0.393
0.470 0.530 0.750
0.470 0.939 0.750
0.530 0.061 0.250
0.530 0.470 0.250
0.638 0.819 0.607
0.638 0.819 0.893
0.819 0.181 0.107
0.819 0.181 0.393
0.819 0.638 0.107
0.819 0.638 0.393
0.939 0.470 0.250
```

Energy = -4.730 eV per atom
Magnetization = 0.000 μB per formula unit
DOS(E_F) = 0.0000 states/eV per atom
Uncorrected formation energy = -1042 meV per atom

CaHg2Cl: optimized geometry, GGA-PBEsol.

Cell and atoms, written as POSCAR:
```
CaHg2Cl
1.0
0.000 3.638 3.638
3.638 0.000 3.638
3.638 3.638 0.000
Ca Hg Cl
1 2 1
Direct
0.000 0.000 0.000
0.500 0.500 0.500
0.750 0.750 0.750
0.250 0.250 0.250
```

Energy = -2.026 eV per atom
Magnetization = 0.001 μB per formula unit
ΔE to the lowest computed polymorph = 158 meV/atom
DOS(E_F) = 0.7031 states/eV per atom
Uncorrected formation energy = -707 meV per atom

TaAl2Ag: optimized geometry, GGA-PBEsol.

Cell and atoms, written as POSCAR:
```
TaAl2Ag
1.0
2.857 0.000 0.000
0.000 4.179 0.000
0.000 0.000 5.567
Ta Al Ag
1 2 1
Direct
0.000 0.000 0.000
0.500 0.500 0.235
0.500 0.500 0.765
0.500 0.000 0.500
```

Energy = -6.085 eV per atom
Magnetization = 0.000 μB per formula unit
ΔE to the lowest computed polymorph = 86 meV/atom
ΔH_f (0 K) = -1.69 kcal/mol of atoms
DOS(E_F) = 0.4701 states/eV per atom

KCd2Pb: optimized geometry, GGA-PBEsol.

Cell and atoms, written as POSCAR:
```
KCd2Pb
1.0
-2.655 2.655 3.723
2.655 -2.655 3.723
2.655 2.655 -3.723
K Cd Pb
1 2 1
Direct
0.000 0.000 0.000
0.250 0.750 0.500
0.500 0.500 0.000
0.750 0.250 0.500
```

Energy = -1.835 eV per atom
Magnetization = 0.000 μB per formula unit
ΔH_f (0 K) = 1.08 kcal/mol of atoms
DOS(E_F) = 0.4206 states/eV per atom

NiAgPb2: optimized geometry, GGA-PBEsol.

Cell and atoms, written as POSCAR:
```
NiAgPb2
1.0
1.698 0.980 8.325
-1.698 0.980 8.325
0.000 -1.960 8.325
Ni Ag Pb
1 1 2
Direct
0.000 0.000 0.000
0.500 0.500 0.500
0.260 0.260 0.260
0.740 0.740 0.740
```

Energy = -4.135 eV per atom
Magnetization = 0.000 μB per formula unit
ΔE to the lowest computed polymorph = 50 meV/atom
ΔH_f (0 K) = 5.35 kcal/mol of atoms
DOS(E_F) = 0.4813 states/eV per atom

ZrSiSb2I: optimized geometry, GGA-PBEsol.

Cell and atoms, written as POSCAR:
```
ZrSiSb2I
1.0
5.532 0.000 0.000
0.000 5.532 0.000
0.000 0.000 5.420
Zr Si Sb I
1 1 2 1
Direct
0.000 0.000 0.000
0.500 0.500 0.500
0.000 0.500 0.000
0.500 0.000 0.000
0.000 0.000 0.500
```

Energy = -4.517 eV per atom
Magnetization = 0.392 μB per formula unit
DOS(E_F) = 1.0208 states/eV per atom
Uncorrected formation energy = 626 meV per atom

La2Re: optimized geometry, GGA-PBEsol.

Cell and atoms, written as POSCAR:
```
La2Re
1.0
6.777 0.000 0.000
-3.388 5.869 0.000
0.000 0.000 4.164
La Re
4 2
Direct
0.000 0.000 0.000
0.000 0.500 0.500
0.500 0.000 0.500
0.500 0.500 0.500
0.333 0.667 0.000
0.667 0.333 0.000
```

Energy = -7.470 eV per atom
Magnetization = 0.000 μB per formula unit
ΔE to the lowest computed polymorph = 263 meV/atom
ΔH_f (0 K) = 12.42 kcal/mol of atoms
DOS(E_F) = 1.1438 states/eV per atom